# KMnTlF6, optimized geometry, DFT GGA+U
# **N(E_F)**: 0.00 states/eV per atom
# **Final energy**: -86.4 eV/cell
data_KMnTlF6
_cell_length_a 6.4742
_cell_length_b 6.4742
_cell_length_c 8.9584
_cell_angle_alpha 90.00
_cell_angle_beta 90.00
_cell_angle_gamma 120.00
_space_group_name_H-M_alt 'P -3 1 c'
_space_group_IT_number 163
_space_group_name_Hall '-P 3 2c'
loop_
_atom_site_label
_atom_site_type_symbol
_atom_site_fract_x
_atom_site_fract_y
_atom_site_fract_z
K1 K 0.0000 0.0000 0.0000
Mn1 Mn 0.3333 0.6667 0.2500
Tl1 Tl 0.3333 0.6667 0.7500
F1 F 0.1035 0.4271 0.1317